i) First-principles (PBE-GGA) data for a relaxed structure of AcNdNi, as listed in Alexandria.

abc: 4.107 4.107 6.627
angles: 90.00 90.00 120.00
Positions (direct):
Ac1 0.000 0.000 0.000
Nd1 0.667 0.333 0.512
Ni1 0.333 0.667 0.742

Computed properties:
The total moment is 0.0 μB per formula unit.


ii) First-principles (PBE-GGA) data for a relaxed structure of AcNdNi, as listed in Alexandria.

abc: 7.416 7.416 6.308
angles: 100.82 100.82 31.93
Positions (direct):
Ac1 0.149 0.149 0.303
Ac2 0.851 0.851 0.697
Nd1 0.411 0.411 0.217
Nd2 0.589 0.589 0.783
Ni1 0.233 0.233 0.876
Ni2 0.767 0.767 0.124

Computed properties:
The total moment is 0.0 μB per formula unit.


iii) First-principles (PBE-GGA) data for a relaxed structure of AcNdNi, as listed in Alexandria.

abc: 7.098 7.098 7.098
angles: 150.20 150.20 42.64
Positions (direct):
Ac1 0.000 0.000 0.000
Nd1 0.743 0.743 0.000
Ni1 0.357 0.357 0.000

Computed properties:
The total moment is 0.0 μB per formula unit.


Name the most stable of them. ii).


i) First-principles (PBE-GGA) data for a relaxed structure of AcNdNi4, as listed in Alexandria.

abc: 4.065 4.098 7.096
angles: 90.00 90.00 90.00
Positions (direct):
Ac1 0.000 0.000 0.000
Nd1 0.000 0.500 0.500
Ni1 0.500 0.000 0.337
Ni2 0.500 0.000 0.663
Ni3 0.500 0.500 0.172
Ni4 0.500 0.500 0.828

Computed properties:
The total moment is 0.4 μB per formula unit.


ii) First-principles (PBE-GGA) data for a relaxed structure of AcNdNi4, as listed in Alexandria.

abc: 5.264 5.264 5.264
angles: 60.00 60.00 60.00
Positions (direct):
Ac1 0.000 0.000 0.000
Nd1 0.750 0.750 0.750
Ni1 0.375 0.375 0.375
Ni2 0.375 0.375 0.874
Ni3 0.375 0.874 0.375
Ni4 0.874 0.375 0.375

Computed properties:
The total moment is 0.0 μB per formula unit.


Name the most stable of them. i).


i) First-principles (PBE-GGA) data for a relaxed structure of AcNdNi2, as listed in Alexandria.

abc: 3.954 4.342 5.877
angles: 90.00 109.50 90.00
Positions (direct):
Ac1 0.000 0.000 0.000
Nd1 0.271 0.500 0.543
Ni1 0.575 0.500 0.149
Ni2 0.711 0.000 0.424

Computed properties:
The total moment is 0.0 μB per formula unit.


ii) First-principles (PBE-GGA) data for a relaxed structure of AcNdNi2, as listed in Alexandria.

abc: 5.076 5.076 5.076
angles: 60.00 60.00 60.00
Positions (direct):
Ac1 0.000 0.000 0.000
Nd1 0.500 0.500 0.500
Ni1 0.250 0.250 0.250
Ni2 0.750 0.750 0.750

Computed properties:
The total moment is 0.0 μB per formula unit.


iii) First-principles (PBE-GGA) data for a relaxed structure of AcNdNi2, as listed in Alexandria.

abc: 7.368 7.368 7.368
angles: 32.38 32.38 32.38
Positions (direct):
Ac1 0.000 0.000 0.000
Nd1 0.174 0.174 0.174
Ni1 0.429 0.429 0.429
Ni2 0.580 0.580 0.580

Computed properties:
The total moment is 0.0 μB per formula unit.


iv) First-principles (PBE-GGA) data for a relaxed structure of AcNdNi2, as listed in Alexandria.

abc: 3.602 3.602 7.120
angles: 90.00 90.00 90.00
Positions (direct):
Ac1 0.000 0.000 0.000
Nd1 0.000 0.000 0.500
Ni1 0.500 0.500 0.275
Ni2 0.500 0.500 0.725

Computed properties:
The total moment is 0.0 μB per formula unit.


Name the most stable of them. i).


i) First-principles (PBE-GGA) data for a relaxed structure of AcNd3Ni, as listed in Alexandria.

abc: 5.574 5.574 5.574
angles: 90.00 90.00 90.00
Positions (direct):
Ac1 0.000 0.000 0.000
Nd1 0.000 0.500 0.500
Nd2 0.500 0.000 0.500
Nd3 0.500 0.500 0.000
Ni1 0.500 0.500 0.500

Computed properties:
The total moment is 0.0 μB per formula unit.


ii) First-principles (PBE-GGA) data for a relaxed structure of AcNd3Ni, as listed in Alexandria.

abc: 8.362 7.817 10.233
angles: 90.00 107.28 90.00
Positions (direct):
Ac1 0.174 0.060 0.248
Ac2 0.174 0.440 0.748
Ac3 0.826 0.560 0.252
Ac4 0.826 0.940 0.752
Nd1 0.094 0.691 0.037
Nd2 0.094 0.809 0.537
Nd3 0.293 0.512 0.391
Nd4 0.293 0.988 0.891
Nd5 0.429 0.132 0.617
Nd6 0.429 0.368 0.117
Nd7 0.571 0.632 0.883
Nd8 0.571 0.868 0.383
Nd9 0.707 0.012 0.109
Nd10 0.707 0.488 0.609
Nd11 0.906 0.191 0.463
Nd12 0.906 0.309 0.963
Ni1 0.449 0.747 0.103
Ni2 0.449 0.753 0.603
Ni3 0.551 0.247 0.397
Ni4 0.551 0.253 0.897

Computed properties:
The total moment is 0.0 μB per formula unit.


Name the most stable of them. ii).


i) First-principles (PBE-GGA) data for a relaxed structure of AcNdNiPd, as listed in Alexandria.

abc: 5.183 5.183 5.183
angles: 60.00 60.00 60.00
Positions (direct):
Ac1 0.000 0.000 0.000
Nd1 0.500 0.500 0.500
Ni1 0.250 0.250 0.250
Pd1 0.750 0.750 0.750

Computed properties:
The total moment is 0.0 μB per formula unit.


ii) First-principles (PBE-GGA) data for a relaxed structure of AcNdNiPd, as listed in Alexandria.

abc: 4.556 5.879 5.879
angles: 39.96 90.00 90.00
Positions (direct):
Ac1 0.000 0.000 0.000
Nd1 0.500 0.274 0.274
Ni1 0.000 0.723 0.723
Pd1 0.500 0.564 0.564

Computed properties:
The total moment is 0.0 μB per formula unit.


Name the most stable of them. ii).


i) First-principles (PBE-GGA) data for a relaxed structure of AcNd2Os, as listed in Alexandria.

abc: 7.612 9.967 6.628
angles: 90.00 90.00 90.00
Positions (direct):
Ac1 0.045 0.250 0.145
Ac2 0.455 0.750 0.645
Ac3 0.545 0.250 0.355
Ac4 0.955 0.750 0.855
Nd1 0.172 0.070 0.670
Nd2 0.172 0.430 0.670
Nd3 0.328 0.570 0.170
Nd4 0.328 0.930 0.170
Nd5 0.672 0.070 0.830
Nd6 0.672 0.430 0.830
Nd7 0.828 0.570 0.330
Nd8 0.828 0.930 0.330
Os1 0.115 0.750 0.432
Os2 0.385 0.250 0.932
Os3 0.615 0.750 0.068
Os4 0.885 0.250 0.568

Computed properties:
The total moment is 0.0 μB per formula unit.


ii) First-principles (PBE-GGA) data for a relaxed structure of AcNd2Os, as listed in Alexandria.

abc: 11.192 11.192 11.192
angles: 20.60 20.60 20.60
Positions (direct):
Ac1 0.000 0.000 0.000
Nd1 0.118 0.118 0.118
Nd2 0.882 0.882 0.882
Os1 0.500 0.500 0.500

Computed properties:
The total moment is 0.0 μB per formula unit.


iii) First-principles (PBE-GGA) data for a relaxed structure of AcNd2Os, as listed in Alexandria.

abc: 6.725 6.725 9.540
angles: 90.00 90.00 144.25
Positions (direct):
Ac1 0.077 0.923 0.750
Ac2 0.923 0.077 0.250
Nd1 0.351 0.649 0.571
Nd2 0.351 0.649 0.929
Nd3 0.649 0.351 0.071
Nd4 0.649 0.351 0.429
Os1 0.251 0.749 0.250
Os2 0.749 0.251 0.750

Computed properties:
The total moment is 0.0 μB per formula unit.


iv) First-principles (PBE-GGA) data for a relaxed structure of AcNd2Os, as listed in Alexandria.

abc: 3.583 3.583 9.852
angles: 90.00 90.00 90.00
Positions (direct):
Ac1 0.000 0.000 0.000
Nd1 0.500 0.500 0.328
Nd2 0.500 0.500 0.672
Os1 0.000 0.000 0.500

Computed properties:
The total moment is 0.0 μB per formula unit.


Name the most stable of them. i).


i) First-principles (PBE-GGA) data for a relaxed structure of AcNdP2, as listed in Alexandria.

abc: 4.263 4.263 14.259
angles: 90.00 90.00 120.00
Positions (direct):
Ac1 0.333 0.667 0.250
Ac2 0.667 0.333 0.750
Nd1 0.000 0.000 0.000
Nd2 0.000 0.000 0.500
P1 0.333 0.667 0.617
P2 0.333 0.667 0.883
P3 0.667 0.333 0.117
P4 0.667 0.333 0.383

Computed properties:
The total moment is 0.0 μB per formula unit.


ii) First-principles (PBE-GGA) data for a relaxed structure of AcNdP2, as listed in Alexandria.

abc: 7.475 7.475 7.475
angles: 33.48 33.48 33.48
Positions (direct):
Ac1 0.000 0.000 0.000
Nd1 0.500 0.500 0.500
P1 0.245 0.245 0.245
P2 0.755 0.755 0.755

Computed properties:
The total moment is 0.0 μB per formula unit.


iii) First-principles (PBE-GGA) data for a relaxed structure of AcNdP2, as listed in Alexandria.

abc: 5.221 5.221 3.669
angles: 90.00 90.00 90.00
Positions (direct):
Ac1 0.000 0.000 0.000
Nd1 0.500 0.500 0.000
P1 0.000 0.500 0.500
P2 0.500 0.000 0.500

Computed properties:
The total moment is 0.0 μB per formula unit.


Name the most stable of them. ii).


i) First-principles (PBE-GGA) data for a relaxed structure of AcNdP2, as listed in Alexandria.

abc: 5.206 5.206 5.206
angles: 60.00 60.00 60.00
Positions (direct):
Ac1 0.000 0.000 0.000
Nd1 0.500 0.500 0.500
P1 0.250 0.250 0.250
P2 0.750 0.750 0.750

Computed properties:
The total moment is 0.0 μB per formula unit.


ii) First-principles (PBE-GGA) data for a relaxed structure of AcNdP2, as listed in Alexandria.

abc: 7.752 7.752 7.752
angles: 31.76 31.76 31.76
Positions (direct):
Ac1 0.000 0.000 0.000
Nd1 0.171 0.171 0.171
P1 0.424 0.424 0.424
P2 0.583 0.583 0.583

Computed properties:
The total moment is 0.0 μB per formula unit.


Name the most stable of them. ii).


i) First-principles (PBE-GGA) data for a relaxed structure of Ac3NdP4, as listed in Alexandria.

abc: 7.589 7.589 4.383
angles: 90.00 90.00 109.41
Positions (direct):
Ac1 0.000 0.000 0.000
Ac2 0.000 0.500 0.500
Ac3 0.500 0.000 0.500
Nd1 0.500 0.500 0.000
P1 0.255 0.745 0.000
P2 0.259 0.259 0.500
P3 0.741 0.741 0.500
P4 0.745 0.255 0.000

Computed properties:
The total moment is 0.0 μB per formula unit.


ii) First-principles (PBE-GGA) data for a relaxed structure of Ac3NdP4, as listed in Alexandria.

abc: 6.204 6.204 6.204
angles: 90.00 90.00 90.00
Positions (direct):
Ac1 0.000 0.000 0.500
Ac2 0.000 0.500 0.000
Ac3 0.500 0.000 0.000
Nd1 0.500 0.500 0.500
P1 0.000 0.000 0.000
P2 0.000 0.500 0.500
P3 0.500 0.000 0.500
P4 0.500 0.500 0.000

Computed properties:
The total moment is 0.0 μB per formula unit.


Name the most stable of them. i).


i) First-principles (PBE-GGA) data for a relaxed structure of Ac2NdPb, as listed in Alexandria.

abc: 4.511 4.511 7.409
angles: 90.00 90.00 90.00
Positions (direct):
Ac1 0.000 0.000 0.232
Ac2 0.000 0.000 0.768
Nd1 0.500 0.500 0.500
Pb1 0.500 0.500 0.000

Computed properties:
The total moment is 0.0 μB per formula unit.


ii) First-principles (PBE-GGA) data for a relaxed structure of Ac2NdPb, as listed in Alexandria.

abc: 5.271 5.271 5.195
angles: 90.00 90.00 90.00
Positions (direct):
Ac1 0.000 0.500 0.000
Ac2 0.500 0.000 0.000
Nd1 0.000 0.000 0.500
Pb1 0.500 0.500 0.500

Computed properties:
The total moment is 0.0 μB per formula unit.


iii) First-principles (PBE-GGA) data for a relaxed structure of Ac2NdPb, as listed in Alexandria.

abc: 5.963 5.963 5.963
angles: 60.00 60.00 60.00
Positions (direct):
Ac1 0.250 0.250 0.250
Ac2 0.750 0.750 0.750
Nd1 0.000 0.000 0.000
Pb1 0.500 0.500 0.500

Computed properties:
The total moment is 0.0 μB per formula unit.


Name the most stable of them. ii).